Entry 1:
A plane-wave DFT calculation with PBE-GGA was carried out for a relaxed BeSn2Pt crystal.

a = 5.7177 Å, b = 5.7177 Å, c = 12.2823 Å
α = 90.00°, β = 90.00°, γ = 90.00°
Space group I-42d (No. 122)
Inequivalent atoms, fractional coordinates:
Be  0.0000  0.0000  0.0000 [4 per cell]
Sn  0.2200  0.2500  0.1250 [8 per cell]
Pt  0.0000  0.0000  0.5000 [4 per cell]

***

Entry 2:
A plane-wave DFT calculation with PBE-GGA was carried out for a relaxed Tb2Be3SnPt4 crystal.

a = 4.0844 Å, b = 4.0844 Å, c = 10.2071 Å
α = 90.00°, β = 90.00°, γ = 90.00°
Space group P-4m2 (No. 115)
Inequivalent atoms, fractional coordinates:
Tb  0.0000  0.5000  0.2342 [2 per cell]
Be  0.0000  0.5000  0.8871 [2 per cell]
Be  0.5000  0.5000  0.5000 [1 per cell]
Sn  0.0000  0.0000  0.5000 [1 per cell]
Pt  0.0000  0.0000  0.0000 [1 per cell]
Pt  0.0000  0.5000  0.6634 [2 per cell]
Pt  0.5000  0.5000  0.0000 [1 per cell]

***

Entry 3:
A plane-wave DFT calculation with PBE-GGA was carried out for a relaxed Th2Be3SnPt4 crystal.

a = 4.0758 Å, b = 4.0758 Å, c = 10.7218 Å
α = 90.00°, β = 90.00°, γ = 90.00°
Space group P-4m2 (No. 115)
Inequivalent atoms, fractional coordinates:
Th  0.0000  0.5000  0.2356 [2 per cell]
Be  0.0000  0.5000  0.8872 [2 per cell]
Be  0.5000  0.5000  0.5000 [1 per cell]
Sn  0.0000  0.0000  0.5000 [1 per cell]
Pt  0.0000  0.0000  0.0000 [1 per cell]
Pt  0.0000  0.5000  0.6700 [2 per cell]
Pt  0.5000  0.5000  0.0000 [1 per cell]

***

Entry 4:
A plane-wave DFT calculation with PBE-GGA was carried out for a relaxed Th2BeSnPt6 crystal.

a = 5.5264 Å, b = 6.4233 Å, c = 6.8726 Å
α = 76.75°, β = 66.32°, γ = 64.66°
Space group P-1 (No. 2)
Inequivalent atoms, fractional coordinates:
Th  0.2474  0.2843  0.2215 [2 per cell]
Be  0.5000  0.5000  0.5000 [1 per cell]
Sn  0.0000  0.0000  0.0000 [1 per cell]
Pt  0.2426  0.2859  0.7401 [2 per cell]
Pt  0.2592  0.8865  0.5953 [2 per cell]
Pt  0.2678  0.7141  0.2600 [2 per cell]

***

Entry 5:
A plane-wave DFT calculation with PBE-GGA was carried out for a relaxed Tm2Be3SnPt4 crystal.

a = 4.0457 Å, b = 4.0457 Å, c = 10.1888 Å
α = 90.00°, β = 90.00°, γ = 90.00°
Space group P-4m2 (No. 115)
Inequivalent atoms, fractional coordinates:
Tm  0.0000  0.5000  0.2329 [2 per cell]
Be  0.0000  0.5000  0.8861 [2 per cell]
Be  0.5000  0.5000  0.5000 [1 per cell]
Sn  0.0000  0.0000  0.5000 [1 per cell]
Pt  0.0000  0.0000  0.0000 [1 per cell]
Pt  0.0000  0.5000  0.6653 [2 per cell]
Pt  0.5000  0.5000  0.0000 [1 per cell]

***

Entry 6:
A plane-wave DFT calculation with PBE-GGA was carried out for a relaxed SrBe2Pt2 crystal.

a = 7.3497 Å, b = 7.3497 Å, c = 2.8641 Å
α = 90.00°, β = 90.00°, γ = 90.00°
Space group P4/mbm (No. 127)
Inequivalent atoms, fractional coordinates:
Sr  0.0000  0.0000  0.0000 [2 per cell]
Be  0.1125  0.3875  0.0000 [4 per cell]
Pt  0.1562  0.6562  0.5000 [4 per cell]

Computed properties:
The energy above the lowest structure with this stoichiometry comes out at 289 meV per atom.

***

The calculation returns the following E_tot values, one per record and in order: -4.168, -5.720, -6.264, -6.715, -5.693, -4.710 eV per atom.
The calculation returns the following N(E_F) values, one per record and in order: 7.21, 3.70, 7.91, 4.80, 3.83, 2.39 states/eV/cell.
The calculation returns the following E_form values, one per record and in order: 0.28, -0.86, -0.85, -0.83, -0.86, -0.47 eV/atom.